No. 1
Fe2CuSe | PBEsol | optimized geometry

```
Fe2CuSe
1.0
-1.5537 1.9852 4.0117
1.5537 -1.9852 4.0117
1.5537 1.9852 -4.0117
Fe Cu Se
2 1 1
Cartesian
0.0000 0.0000 0.0000 Fe
0.0000 1.9852 2.0582 Fe
0.0000 0.0000 3.9215 Cu
1.5537 0.0000 1.8657 Se
```

- Size of the total moment: 4.60 Bohr magnetons per cell
- D(E_F): 0.71 states/eV/atom
- E_form (uncorrected): 244 meV/atom
- Crystal system: orthorhombic

***

No. 2
TcNiPCl2 | PBEsol | optimized geometry

```
TcNiPCl2
1.0
4.6884 0.0000 0.0000
0.0000 4.6884 0.0000
0.0000 0.0000 4.5353
Tc Ni P Cl
1 1 1 2
Cartesian
0.0000 0.0000 0.0000 Tc
2.3442 2.3442 2.2676 Ni
0.0000 0.0000 2.2676 P
0.0000 2.3442 0.0000 Cl
2.3442 0.0000 0.0000 Cl
```

- Size of the total moment: 0.12 Bohr magnetons per cell
- D(E_F): 2.56 states/eV/atom
- E_form (uncorrected): 747 meV/atom
- Crystal system: tetragonal

***

No. 3
CrCd2Ru | PBEsol | optimized geometry

```
CrCd2Ru
1.0
2.7079 -4.6908 0.0000
2.7079 4.6908 0.0000
-1.1633 0.0000 2.5874
Cr Cd Ru
1 2 1
Cartesian
0.0000 0.0000 0.0000 Cr
0.7723 2.3454 1.2937 Cd
0.7723 -2.3454 1.2937 Cd
2.7079 0.0000 0.0000 Ru
```

- Size of the total moment: 2.75 Bohr magnetons per cell
- Calculated formation energy: 542 meV per atom
- D(E_F): 0.76 states/eV/atom
- Crystal system: monoclinic

***

No. 4
Tl3Cd | PBEsol | optimized geometry

```
Tl3Cd
1.0
5.4980 0.0000 0.0000
0.0000 6.6295 0.0000
0.0000 0.0000 5.8411
Tl Cd
6 2
Cartesian
1.3745 0.0080 0.9833 Tl
1.3745 3.3067 0.9833 Tl
1.3745 4.9721 3.8445 Tl
4.1235 1.6574 1.9967 Tl
4.1235 3.3227 4.8578 Tl
4.1235 6.6215 4.8578 Tl
1.3745 1.6574 3.9175 Cd
4.1235 4.9721 1.9236 Cd
```

- Size of the total moment: 0.00 Bohr magnetons per cell
- Calculated formation energy: 53 meV per atom
- D(E_F): 0.51 states/eV/atom
- Crystal system: orthorhombic

***

No. 5
Te2MoRu | PBEsol | optimized geometry

```
Te2MoRu
1.0
1.5740 0.9088 9.8254
-1.5740 0.9088 9.8254
0.0000 -1.8175 9.8254
Te Mo Ru
2 1 1
Cartesian
0.0000 0.0000 0.0000 Te
0.0000 0.0000 6.0181 Te
0.0000 0.0000 21.6456 Mo
0.0000 0.0000 13.8937 Ru
```

- Size of the total moment: 0.00 Bohr magnetons per cell
- D(E_F): 0.78 states/eV/atom
- E_form (uncorrected): 285 meV/atom
- Crystal system: trigonal

***

No. 6
Si2HgP | PBEsol | optimized geometry

```
Si2HgP
1.0
0.0000 3.2428 3.2428
3.2428 0.0000 3.2428
3.2428 3.2428 0.0000
Si Hg P
2 1 1
Cartesian
0.0000 0.0000 0.0000 Si
1.6214 1.6214 1.6214 Si
3.2428 3.2428 3.2428 Hg
4.8642 4.8642 4.8642 P
```

- Size of the total moment: 0.00 Bohr magnetons per cell
- D(E_F): 0.66 states/eV/atom
- E_form (uncorrected): 628 meV/atom
- Crystal system: cubic

***

No. 7
SrFeN3 | PBEsol | optimized geometry

```
SrFeN3
1.0
3.7968 0.0000 0.0000
0.0000 3.7968 0.0000
0.0000 0.0000 3.7968
Sr Fe N
1 1 3
Cartesian
0.0000 0.0000 0.0000 Sr
1.8984 1.8984 1.8984 Fe
0.0000 1.8984 1.8984 N
1.8984 0.0000 1.8984 N
1.8984 1.8984 0.0000 N
```

- Size of the total moment: 2.90 Bohr magnetons per cell
- D(E_F): 0.88 states/eV/atom
- E_form (uncorrected): 190 meV/atom
- Crystal system: cubic

***

No. 8
Ta3CdRh | PBEsol | optimized geometry

```
Ta3CdRh
1.0
4.7571 0.0000 0.0000
0.0000 4.7571 0.0000
0.0000 0.0000 4.7571
Ta Cd Rh
3 1 1
Cartesian
0.0000 0.0000 2.3786 Ta
0.0000 2.3786 0.0000 Ta
2.3786 0.0000 0.0000 Ta
2.3786 2.3786 2.3786 Cd
0.0000 0.0000 0.0000 Rh
```

- Size of the total moment: 0.00 Bohr magnetons per cell
- Calculated formation energy: 1082 meV per atom
- D(E_F): 0.84 states/eV/atom
- Crystal system: cubic

***

- Among the records above, which one has the lowest D(E_F)?
  Tl3Cd